# SrCr2SbO8, relaxed, DFT PBE with a Hubbard U
data_SrCr2SbO8
_chemical_formula_sum 'Sr1 Cr2 Sb1 O8'
_space_group_name_H-M_alt 'P -3'
_space_group_IT_number 147
_cell_length_a 5.6441
_cell_length_b 5.6441
_cell_length_c 7.2355
_cell_angle_alpha 90.00
_cell_angle_beta 90.00
_cell_angle_gamma 120.00
loop_
_space_group_symop_operation_xyz
'x,y,z'
'-x,-y,-z'
'-y,x-y,z'
'y,-x+y,-z'
'-x+y,-x,z'
'x-y,x,-z'
loop_
_atom_site_label
_atom_site_fract_x
_atom_site_fract_y
_atom_site_fract_z
_atom_site_occupancy
Sr1 0.0000 0.0000 0.0000 1
Cr1 0.3333 0.6667 0.7828 1
Sb1 0.0000 0.0000 0.5000 1
O1 0.1645 0.8332 0.7098 1
O2 0.3333 0.6667 0.0095 1
# Crystal system ... trigonal
# Size of the total moment ... 1.0 μB/cell
# DFT total energy ... -6.58 eV/atom